CsGeC3 PBE optimized geometry; E_tot = -19.8 eV per formula unit; distance to the lowest polymorph of the same formula = 0 meV per atom; symmetry = Pm-3m, No. 221; calculated formation energy = 13.39 eV/f.u.; density = 5.14 g/cm³
1.0
-2.2845 2.0372 2.9829
-3.6008 -1.5649 -1.6890
0.2871 -3.4159 2.5527
Cs Ge C
1 1 3
Cartesian
-2.7991 -1.4718 1.9233
0.0000 0.0000 0.0000
-1.8004 -0.7824 -0.8445
0.1436 -1.7079 1.2764
-1.1423 1.0186 1.4915

=====

CsGeC3 PBE optimized geometry; E_tot = -12.4 eV per formula unit; distance to the lowest polymorph of the same formula = 1473 meV per atom; symmetry = Pm-3m, No. 221; calculated formation energy = 20.76 eV/f.u.; density = 4.10 g/cm³
1.0
4.6069 0.0000 0.0000
0.0000 4.6069 0.0000
0.0000 0.0000 4.6069
Cs Ge C
1 1 3
Cartesian
0.0000 0.0000 0.0000
2.3035 2.3035 2.3035
0.0000 2.3035 0.0000
0.0000 0.0000 2.3035
2.3035 0.0000 0.0000

=====

Cs2GeC PBE optimized geometry; E_tot = -8.7 eV per formula unit; symmetry = Fm-3m, No. 225; calculated formation energy = 6.89 eV/f.u.; density = 4.19 g/cm³
1.0
0.0000 4.1100 4.1100
4.1100 0.0000 4.1100
4.1100 4.1100 0.0000
Cs Ge C
2 1 1
Cartesian
2.0550 2.0550 2.0550
6.1650 6.1650 6.1650
4.1100 4.1100 4.1100
0.0000 0.0000 0.0000

=====

CsHfGe2C PBE optimized geometry; E_tot = -12.3 eV per formula unit; symmetry = P4/mmm, No. 123; calculated formation energy = 16.98 eV/f.u.; density = 4.44 g/cm³
1.0
5.6283 0.0000 0.0000
0.0000 5.5325 0.0000
0.0000 0.0000 5.6283
Cs Ge Hf C
1 2 1 1
Cartesian
0.0000 0.0000 0.0000
0.0000 0.0000 2.8142
2.8142 0.0000 0.0000
0.0000 2.7663 0.0000
2.8142 2.7663 2.8142

=====

Cs2GeCI6 PBE optimized geometry; E_form (uncorrected) = -0.216 eV per atom; E_tot = -27.0 eV per formula unit; symmetry = I4/mmm, No. 139; density = 4.94 g/cm³
1.0
8.0934 0.0000 0.0000
0.0000 8.0934 0.0000
4.0467 4.0467 5.7044
Cs I Ge C
2 6 1 1
Cartesian
8.0934 4.0467 2.8522
4.0467 8.0934 2.8522
4.0467 4.0467 2.7204
8.0934 8.0934 2.9840
2.1178 2.1178 0.0000
5.9756 5.9756 0.0000
5.9756 2.1178 0.0000
2.1178 5.9756 0.0000
0.0000 0.0000 0.0000
4.0467 4.0467 0.0000

=====

Cs2GeIrC PBE optimized geometry; E_tot = -20.6 eV per formula unit; symmetry = P4/mmm, No. 123; calculated formation energy = 3.83 eV/f.u.; density = 5.36 g/cm³
1.0
-0.4541 1.1549 -6.5235
-3.7589 -0.6024 0.1550
-0.9844 6.4544 1.2112
Cs Ge Ir C
2 1 1 1
Cartesian
-0.4922 3.2272 0.6056
-0.2270 0.5774 -3.2617
-2.5987 3.5035 -2.5786
-1.8795 -0.3012 0.0775
0.0000 0.0000 0.0000

=====

Cs2KGeC PBE optimized geometry; E_tot = -9.2 eV per formula unit; symmetry = P4/mmm, No. 123; calculated formation energy = 7.49 eV/f.u.; density = 2.95 g/cm³
1.0
6.8658 0.0000 0.0000
0.0000 4.6526 0.0000
0.0000 0.0000 6.8658
Cs C Ge K
2 1 1 1
Cartesian
0.0000 0.0000 3.4329
3.4329 0.0000 0.0000
0.0000 2.3263 0.0000
3.4329 2.3263 3.4329
0.0000 0.0000 0.0000

=====

CsNbGeC2 PBE optimized geometry; E_tot = -19.3 eV per formula unit; symmetry = P4/mmm, No. 123; calculated formation energy = 14.67 eV/f.u.; density = 5.72 g/cm³
1.0
-0.5613 1.0453 -3.9327
-3.3023 -4.4042 -0.6993
-3.2531 2.2696 1.0676
Cs C Nb Ge
1 2 1 1
Cartesian
-1.6511 -2.2021 -0.3497
-1.6265 1.1348 0.5338
-0.2806 0.5227 -1.9663
-3.5583 -0.5446 -1.7822
0.0000 0.0000 0.0000

=====

CsGe2RhC PBE optimized geometry; E_tot = -12.0 eV per formula unit; symmetry = P4/mmm, No. 123; calculated formation energy = 14.63 eV/f.u.; density = 4.76 g/cm³
1.0
-0.0542 -2.3796 -5.0220
-4.3414 -3.1170 1.5237
-2.7712 3.1457 -1.4607
Cs Ge Rh C
1 2 1 1
Cartesian
0.0000 0.0000 0.0000
-2.1707 -1.5585 0.7619
-0.0271 -1.1898 -2.5110
-3.5834 -1.1754 -2.4794
-1.3856 1.5729 -0.7303

=====

Cs2HCI6 PBE optimized geometry; E_tot = -22.9 eV per formula unit; symmetry = I4/mmm, No. 139; density = 4.59 g/cm³
1.0
7.2437 0.0000 0.0000
0.0000 7.2437 0.0000
3.6219 3.6219 7.1670
Cs I C H
2 6 1 1
Cartesian
7.2437 3.6219 3.5835
3.6219 7.2437 3.5835
3.6219 3.6219 4.4087
7.2437 7.2437 2.7583
1.8433 1.8433 0.0000
5.4004 5.4004 0.0000
5.4004 1.8433 0.0000
1.8433 5.4004 0.0000
0.0000 0.0000 0.0000
3.6219 3.6219 0.0000

=====

Cs2MgH8C4O12 PBE optimized geometry; E_tot = -164.0 eV per formula unit; symmetry = C2/c, No. 15; density = 2.55 g/cm³
1.0
-6.7601 0.1333 -3.2048
0.0710 -3.0286 -9.0106
-5.1674 -9.9512 1.7512
C Cs H Mg O
8 4 16 2 24
Cartesian
-9.0037 -5.5939 -4.3545
-9.8400 -10.6279 -2.7996
-2.8529 -7.2527 -6.1097
-2.0165 -2.2187 -7.6646
-3.4804 -6.0238 -0.2183
-9.8920 -10.3058 -4.3419
-8.3761 -6.8228 -10.2459
-1.9645 -2.5408 -6.1223
-10.2168 -11.2600 -8.3406
-6.6788 -8.0274 -6.9341
-1.6398 -1.5866 -2.1236
-5.1777 -4.8192 -3.5301
-6.9272 -7.7342 -0.8148
-5.7185 -8.6098 -3.4009
-4.9293 -5.1124 -9.6494
-6.1381 -4.2368 -7.0633
-7.6759 -6.3492 -1.2181
-6.5487 -9.9636 -3.7461
-4.1806 -6.4974 -9.2461
-5.3079 -2.8830 -6.7181
-5.7397 -1.4182 -2.5233
-8.0856 -4.8494 -6.4526
-6.1168 -11.4284 -7.9409
-3.7710 -7.9972 -4.0116
-6.8964 -4.8193 -10.6375
-8.1564 -4.4513 -7.9646
-4.9601 -8.0273 0.1733
-3.7002 -8.3953 -2.4996
-8.4145 -8.1308 -3.0995
-3.4421 -4.7158 -7.3648
-8.0459 -6.4340 -4.2838
-9.1526 -9.8202 -2.0903
-3.8106 -6.4126 -6.1804
-2.7040 -3.0264 -8.3739
-2.2993 -4.7215 -1.9075
-5.3268 -1.6684 -4.1295
-9.5572 -8.1251 -8.5568
-6.5298 -11.1782 -6.3347
-4.4050 -5.1812 -0.1304
-10.4359 -11.1196 -5.1260
-7.4515 -7.6654 -10.3338
-1.4206 -1.7270 -5.3382
-10.2028 -7.0294 -2.8370
-9.3778 -9.1778 -4.6665
-1.6537 -5.8171 -7.6272
-2.4787 -3.6688 -5.7978
-7.7023 -7.3399 -1.3262
-6.6172 -8.9711 -3.6830
-4.1542 -5.5067 -9.1380
-5.2394 -3.8755 -6.7812
-6.0261 -4.3401 -10.6019
-7.5937 -4.9588 -7.3209
-5.8304 -8.5065 0.1376
-4.2628 -7.8878 -3.1433

=====

CsH4CN3 PBE optimized geometry; E_tot = -51.5 eV per formula unit; symmetry = Pnma, No. 62; density = 2.99 g/cm³
1.0
7.3217 0.0000 -0.0002
0.0000 7.3076 0.0000
-0.0017 0.0000 7.9277
C Cs H N
4 4 16 12
Cartesian
2.8272 5.4807 4.9755
0.8318 1.8269 1.0129
4.4928 1.8269 2.9521
6.4882 5.4807 6.9146
0.0988 1.8269 4.6042
3.5609 5.4807 0.6395
7.2211 5.4807 3.3233
3.7591 1.8269 7.2880
3.1727 2.7099 4.3237
0.4882 4.5978 0.3586
4.1473 6.3637 3.6038
6.8318 0.9440 7.5690
4.1473 4.5977 3.6038
6.8318 2.7098 7.5690
3.1727 0.9439 4.3237
0.4882 6.3636 0.3585
1.6413 4.4090 6.0585
2.0191 2.8989 2.0942
5.6786 0.7552 1.8691
5.3008 6.5527 5.8333
5.6786 2.8986 1.8691
5.3008 4.4087 5.8333
1.6413 6.5524 6.0585
2.0192 0.7549 2.0942
3.4624 1.8269 3.8767
0.1983 5.4807 7.8380
3.8576 5.4807 4.0508
7.1217 1.8269 0.0895
2.3902 4.2641 5.3699
1.2691 3.0434 1.4068
4.9298 0.6103 2.5576
6.0508 6.6972 6.5207
4.9298 3.0435 2.5576
6.0509 4.2642 6.5207
2.3902 6.6972 5.3699
1.2691 0.6104 1.4068